12
Lattice="6.901 0.000 0.000 0.000 4.277 0.000 0.000 0.000 8.670" Properties=species:S:1:pos:R:3 comment="CaBeAs, relaxed, DFT PBE" formation_energy_mev_per_atom=-490 polymorph_energy_ev_per_fu=0.59 magmom_total_mub_per_cell=0.00 pbc="T T T"
Ca 1.001 1.069 1.300
Ca 2.449 3.208 5.635
Ca 4.452 1.069 3.035
Ca 5.900 3.208 7.370
Be 0.149 3.208 3.443
Be 3.301 1.069 7.778
Be 3.600 3.208 0.891
Be 6.752 1.069 5.226
As 1.088 1.069 7.107
As 2.363 3.208 2.772
As 4.538 1.069 5.898
As 5.813 3.208 1.563



8
Lattice="-2.686 2.686 8.749 2.686 -2.686 8.749 2.686 2.686 -8.749" Properties=species:S:1:pos:R:3 comment="Ca2BeAs, relaxed, DFT PBE" formation_energy_mev_per_atom=222 polymorph_energy_ev_per_fu=3.08 magmom_total_mub_per_cell=0.00 pbc="T T T"
Ca 4.029 1.302 -2.187
Ca 1.302 1.343 2.187
Ca -1.343 1.384 6.562
Ca 1.384 1.343 10.936
Be 2.686 0.000 4.374
Be 0.000 0.000 8.749
As 0.000 0.000 0.000
As 0.000 2.686 4.374